The following is a PBE calculation of an optimized crystal structure of Li2Dy2ZrS6, from the Alexandria database.

The structure belongs to space group C2/m (No. 12); the cell edges are 6.7222, 11.5582 and 6.5179 Å and the angles 90.00°, 108.53° and 90.00°. The distinct sites, in fractional coordinates, are Li at (0.0000, 0.1579, 0.0000), Dy at (0.0000, 0.3342, 0.5000), Zr at (0.0000, 0.0000, 0.5000), S at (0.2322, 0.1613, 0.7413) and S at (0.2376, 0.0000, 0.2581).

Its uncorrected formation energy is -19.2 eV/f.u.